Record 1
## Sr2GeCl (PBE)

Data for Sr2GeCl after structural relaxation.

Unit cell a=3.7768 b=3.7768 c=8.1827 alpha=90.00 beta=90.00 gamma=90.00
Last column: nearest neighbours and their distance in Å.
Positions (direct):
Sr 0.0000 0.0000 0.2279  4 Ge 3.26, 4 Cl 3.48
Sr 0.0000 0.0000 0.7721  4 Ge 3.26, 4 Cl 3.48
Ge 0.5000 0.5000 0.0000  8 Sr 3.26
Cl 0.5000 0.5000 0.5000  8 Sr 3.48, 4 Cl 3.78

Output
**Density of states at the Fermi level**: 1.5 states/eV per cell
**Total moment**: 0.00 Bohr magnetons per cell
**Crystal system**: tetragonal
**Raw formation energy**: -1.102 eV per atom
**ΔE to the lowest computed polymorph**: 118 meV/atom

Record 2
## Ac2GdMg (PBE)

Data for Ac2GdMg after structural relaxation.

Unit cell a=4.0155 b=4.0155 c=9.1695 alpha=90.00 beta=90.00 gamma=90.00
Last column: nearest neighbours and their distance in Å.
Positions (direct):
Ac 0.0000 0.0000 0.2317  4 Mg 3.55, 4 Gd 3.76
Ac 0.0000 0.0000 0.7683  4 Mg 3.55, 4 Gd 3.76
Gd 0.5000 0.5000 0.5000  8 Ac 3.76, 4 Gd 4.02
Mg 0.5000 0.5000 0.0000  8 Ac 3.55

Output
**Density of states at the Fermi level**: 5.0 states/eV per cell
**Total moment**: 7.50 Bohr magnetons per cell
**Crystal system**: tetragonal
**ΔE to the lowest computed polymorph**: 0 meV/atom
**ΔH_f (0 K)**: -11 meV per atom

Record 3
## Sb3PdN (PBE)

Data for Sb3PdN after structural relaxation.

Unit cell a=4.6809 b=4.6809 c=4.6809 alpha=90.00 beta=90.00 gamma=90.00
Last column: nearest neighbours and their distance in Å.
Positions (direct):
Sb 0.0000 0.0000 0.5000  2 N 2.34
Sb 0.0000 0.5000 0.0000  2 N 2.34
Sb 0.5000 0.0000 0.0000  2 N 2.34
Pd 0.5000 0.5000 0.5000  12 Sb 3.31
N 0.0000 0.0000 0.0000  6 Sb 2.34

Output
**Density of states at the Fermi level**: 0.4 states/eV per cell
**Total moment**: 0.00 Bohr magnetons per cell
**Crystal system**: cubic
**Raw formation energy**: 0.489 eV per atom
**ΔE to the lowest computed polymorph**: 0 meV/atom

Record 4
## PaTaAu2O8 (PBE)

Data for PaTaAu2O8 after structural relaxation.

Unit cell a=5.9898 b=5.9898 c=5.9898 alpha=111.32 beta=111.32 gamma=105.83
Last column: nearest neighbours and their distance in Å.
Positions (direct):
Pa 0.0000 0.0000 0.0000  8 O 2.22-2.37
Ta 0.2500 0.7500 0.5000  8 O 2.08-2.15
Au 0.5000 0.5000 0.0000  4 O 2.09
Au 0.7500 0.2500 0.5000  4 O 2.14
O 0.9995 0.3284 0.3288  1 Au 2.14, 1 Ta 2.15, 2 O 2.18-2.31, 1 Pa 2.22
O 0.9995 0.6707 0.6712  1 Au 2.14, 1 Ta 2.15, 2 O 2.18-2.31, 1 Pa 2.22
O 0.2743 0.0805 0.8062  1 Ta 2.08, 1 Au 2.09, 1 O 2.18
O 0.2743 0.4681 0.1938  1 Ta 2.08, 1 Au 2.09, 1 O 2.18
O 0.3293 0.0005 0.3288  1 Au 2.14, 1 Ta 2.15, 2 O 2.18-2.31, 1 Pa 2.22
O 0.5319 0.7257 0.8062  1 Ta 2.08, 1 Au 2.09, 1 O 2.18
O 0.6716 0.0005 0.6712  1 Au 2.14, 1 Ta 2.15, 2 O 2.18-2.31, 1 Pa 2.22
O 0.9195 0.7257 0.1938  1 Ta 2.08, 1 Au 2.09, 1 O 2.18

Output
**Density of states at the Fermi level**: 5.3 states/eV per cell
**Total moment**: 0.00 Bohr magnetons per cell
**Crystal system**: tetragonal
**Raw formation energy**: -1.557 eV per atom

Record 5
## Ta2HO2 (PBE)

Data for Ta2HO2 after structural relaxation.

Unit cell a=3.7160 b=3.7160 c=9.1054 alpha=90.00 beta=90.00 gamma=90.00
Last column: nearest neighbours and their distance in Å.
Positions (direct):
Ta 0.0000 0.0000 0.1415  4 O 2.10
Ta 0.0000 0.0000 0.8585  4 O 2.10
Ta 0.5000 0.5000 0.3585  4 O 2.10
Ta 0.5000 0.5000 0.6415  4 O 2.10
H 0.0000 0.0000 0.5000  10 Ta 2.93-3.26, 8 O 2.94
H 0.5000 0.5000 0.0000  10 Ta 2.93-3.26, 8 O 2.94
O 0.0000 0.5000 0.2500  4 Ta 2.10
O 0.0000 0.5000 0.7500  4 Ta 2.10
O 0.5000 0.0000 0.2500  4 Ta 2.10
O 0.5000 0.0000 0.7500  4 Ta 2.10

Output
**Density of states at the Fermi level**: 5.7 states/eV per cell
**Total moment**: 0.00 Bohr magnetons per cell
**Crystal system**: tetragonal
**ΔE to the lowest computed polymorph**: 0 meV/atom

Record 6
## Y2ScTaS (PBE)

Data for Y2ScTaS after structural relaxation.

Unit cell a=5.1714 b=5.1714 c=4.7572 alpha=90.00 beta=90.00 gamma=90.00
Last column: nearest neighbours and their distance in Å.
Positions (direct):
Y 0.0000 0.5000 0.0000  2 S 2.59
Y 0.5000 0.0000 0.0000  2 S 2.59
Sc 0.0000 0.0000 0.5000  2 S 2.38
Ta 0.5000 0.5000 0.5000  8 Y 3.51, 4 Sc 3.66
S 0.0000 0.0000 0.0000  2 Sc 2.38, 4 Y 2.59

Output
**Density of states at the Fermi level**: 5.1 states/eV per cell
**Total moment**: 1.43 Bohr magnetons per cell
**Crystal system**: tetragonal
**Raw formation energy**: -0.210 eV per atom

Record 7
## FeBiI (PBE)

Data for FeBiI after structural relaxation.

Unit cell a=3.7028 b=6.7928 c=7.0101 alpha=93.89 beta=90.11 gamma=105.77
Last column: nearest neighbours and their distance in Å.
Positions (direct):
Fe 0.0000 0.0000 0.0000  2 Fe 2.54, 1 I 2.74, 4 Bi 2.76-2.78
Fe 0.3733 0.7460 0.0565  2 Fe 2.54, 2 Bi 2.64-2.78, 3 I 2.70-2.80
Bi 0.4459 0.8920 0.7155  3 Fe 2.64-2.78
Bi 0.5571 0.1146 0.2793  3 Fe 2.76-2.78
I 0.1843 0.3703 0.8387  2 Fe 2.74-2.80
I 0.8082 0.6143 0.2994  2 Fe 2.70

Output
**Density of states at the Fermi level**: 5.1 states/eV per cell
**Total moment**: 4.41 Bohr magnetons per cell
**Crystal system**: triclinic
**Raw formation energy**: 0.170 eV per atom
**ΔE to the lowest computed polymorph**: 30 meV/atom

Record 8
## PuBiSb2N (PBE)

Data for PuBiSb2N after structural relaxation.

Unit cell a=3.9290 b=3.9290 c=17.1799 alpha=90.00 beta=90.00 gamma=90.00
Last column: nearest neighbours and their distance in Å.
Positions (direct):
Pu 0.2500 0.2500 0.0631  4 N 2.24
Pu 0.7500 0.7500 0.9369  4 N 2.24
Bi 0.2500 0.2500 0.6524  5 Sb 2.98-3.18
Bi 0.7500 0.7500 0.3476  5 Sb 2.98-3.18
Sb 0.2500 0.2500 0.4381  4 Bi 3.18, 4 Sb 3.50
Sb 0.2500 0.2500 0.8260  1 Bi 2.98
Sb 0.7500 0.7500 0.1740  1 Bi 2.98
Sb 0.7500 0.7500 0.5619  4 Bi 3.18, 4 Sb 3.50
N 0.2500 0.7500 0.0000  4 Pu 2.24
N 0.7500 0.2500 0.0000  4 Pu 2.24

Output
**Density of states at the Fermi level**: 15.8 states/eV per cell
**Total moment**: 8.27 Bohr magnetons per cell
**Crystal system**: tetragonal
**Raw formation energy**: -0.401 eV per atom